Record 1
Computed, not measured: crystalline Cu7SbAu12 at its relaxed geometry at the PBE-GGA level of DFT.

Summary:
The calculation puts the calculated total energy at -3.55 eV/atom. The value obtained for the theoretical density is 14.52 g cm⁻³. The calculation puts the total moment at 0.000 μB/f.u.

a b c (Å): 12.2549 12.2549 7.7303
angles (deg): 90.00 90.00 120.00
Space group R-3 (No. 148, hexagonal axes)
Symmetry-distinct sites (fractional):
1 Cu 0.0000 0.0000 0.0000 x3
2 Cu 0.0058 0.1472 0.2333 x18
3 Sb 0.0000 0.0000 0.5000 x3
4 Au 0.0182 0.2356 0.9122 x18
5 Au 0.0655 0.5922 0.1310 x18


Record 2
Computed, not measured: crystalline ErIrO4 at its relaxed geometry at the PBE-GGA level of DFT.

Summary:
The calculation puts the calculated total energy at -7.46 eV/atom. The value obtained for the theoretical density is 9.58 g cm⁻³. The calculation puts the total moment at 0.381 μB/f.u. The energy above the most stable polymorph in this dataset is 0 meV/atom.

a b c (Å): 7.603 5.308 7.363
angles (deg): 90.00 98.84 90.00
Space group P2_1/c (No. 14)
Symmetry-distinct sites (fractional):
1 Er 0.149 0.218 0.389 x4
2 Ir 0.340 0.728 0.200 x4
3 O 0.110 0.523 0.175 x4
4 O 0.190 0.018 0.119 x4
5 O 0.332 0.619 0.945 x4
6 O 0.437 0.095 0.810 x4